(1)
## KBiPb3 (PBE)

Data for an optimized crystal structure of KBiPb3.

The space group is Pm-3m (No. 221) and the conventional cell measures 6.145, 6.145 and 6.145 Å, with angles of 90.00, 90.00 and 90.00 degrees. The inequivalent atoms are K at (0.000, 0.000, 0.000), Bi at (0.500, 0.500, 0.500) and Pb at (0.000, 0.500, 0.500).

Its formation energy is 0.32 eV/atom. Its size of the total moment is 0.0 μB/f.u.

***

(2)
## K4Bi4Pb (PBE)

Data for an optimized crystal structure of K4Bi4Pb.

The space group is I-42m (No. 121) and the conventional cell measures 7.009, 7.009 and 17.196 Å, with angles of 90.00, 90.00 and 90.00 degrees. The inequivalent atoms are K at (0.186, 0.186, 0.122), Bi at (0.150, 0.150, 0.327) and Pb at (0.000, 0.000, 0.500).

Its formation energy is -0.07 eV/atom. Its size of the total moment is 0.0 μB/f.u.

***

(3)
## KBi3Pb3 (PBE)

Data for an optimized crystal structure of KBi3Pb3.

The space group is R-3 (No. 148, hexagonal axes) and the conventional cell measures 9.3048, 9.3048 and 22.5799 Å, with angles of 90.00, 90.00 and 120.00 degrees. The inequivalent atoms are K at (0.0000, 0.0000, 0.1670), Bi at (0.0008, 0.6778, 0.5769) and Pb at (0.0008, 0.6617, 0.3830).

Its formation energy is -0.06 eV/atom. Its size of the total moment is 0.0 μB/f.u.

***

- Which value of size of the total moment does entry 1 give?
  0.0 μB/f.u.